(1)
Material: ReRhAu
Method: DFT, meta-GGA SCAN
State: PBEsol geometry

Lattice parameters (Å, degrees): 2.766 2.766 6.176 102.94 102.94 90.00
Fractional positions:
Au  0.002  0.002  0.003
Re  0.677  0.677  0.354
Rh  0.321  0.321  0.643

Summary:
Its formation energy is 94 meV per atom.

=====

(2)
Material: Re2RhAu
Method: DFT, meta-GGA SCAN
State: PBEsol geometry

Lattice parameters (Å, degrees): 2.710 3.912 5.558 90.00 90.00 90.00
Fractional positions:
Au  0.500  0.500  0.747
Re  0.000  0.000  0.016
Re  0.500  0.500  0.247
Rh  0.000  0.000  0.490

Summary:
Its formation energy is 162 meV per atom. For the energy above the most stable polymorph in this dataset, the calculation gives 0 meV per atom.

=====

no.,V (Å³ per cell),D(E_F) (states/eV/atom)
1,44.8,0.5369
2,58.9,0.8302